BaCaFeCu2: optimized geometry, PBE-GGA.

Total magnetic moment: 1.87 μB per formula unit
E_form: 0.628 eV per atom
Crystal system: tetragonal

abc: 4.909 4.909 5.141
angles: 90.00 90.00 90.00
Sites, in units of the cell vectors:
Ba: 0.000 0.000 0.000
Ca: 0.500 0.500 0.000
Fe: 0.000 0.000 0.500
Cu: 0.000 0.500 0.500
Cu: 0.500 0.000 0.500

***

BaCa2CuGe: optimized geometry, PBE-GGA.

Total magnetic moment: 0.00 μB per formula unit
E_form: -0.076 eV per atom
Crystal system: tetragonal

abc: 5.596 5.596 4.955
angles: 90.00 90.00 90.00
Sites, in units of the cell vectors:
Ba: 0.000 0.000 0.000
Ca: 0.000 0.500 0.500
Ca: 0.500 0.000 0.500
Cu: 0.500 0.500 0.500
Ge: 0.500 0.500 0.000